Run P
LiCoBr2: optimized geometry, PBEsol.

Geometry as POSCAR:
```
LiCoBr2
1.0
-2.927 -1.786 -0.806
0.595 -2.191 2.692
-2.605 6.234 3.345
Br Li Co
2 1 1
direct
0.750 0.250 0.500
0.000 0.000 0.000
0.250 0.750 0.500
0.500 0.500 0.000
```

Output
As for the crystal system: tetragonal. The space group is No. 119.

---

Run Q
LiCoBr2: optimized geometry, PBEsol.

Geometry as POSCAR:
```
LiCoBr2
1.0
-1.017 -3.943 -2.244
2.517 -1.290 -3.690
2.864 -3.650 0.300
Br Co Li
2 1 1
direct
0.750 0.750 0.750
0.250 0.250 0.250
0.500 0.500 0.500
0.000 0.000 0.000
```

Output
As for the crystal system: cubic. The space group is No. 225.

---

Of them, run Q has the lowest stability.

---

Run P
MgCo2Br: optimized geometry, PBEsol.

Geometry as POSCAR:
```
MgCo2Br
1.0
2.960 -0.029 0.000
-1.359 2.629 0.000
0.000 0.000 8.104
Co Mg Br
2 1 1
direct
0.000 0.000 0.239
0.000 0.000 0.761
0.500 0.500 0.500
0.500 0.500 0.000
```

Output
As for the crystal system: orthorhombic. The space group is No. 65.

---

Run Q
MgCo2Br: optimized geometry, PBEsol.

Geometry as POSCAR:
```
MgCo2Br
1.0
4.288 0.000 0.000
2.144 3.714 0.000
2.144 1.238 3.501
Co Mg Br
2 1 1
direct
0.750 0.750 0.750
0.250 0.250 0.250
0.500 0.500 0.500
0.000 0.000 0.000
```

Output
As for the crystal system: cubic. The space group is No. 225.

---

Of them, run P has the lowest stability.

---

Run P
MgCoBr2: optimized geometry, PBEsol.

Geometry as POSCAR:
```
MgCoBr2
1.0
-2.123 -0.471 2.435
2.453 -0.870 1.970
0.879 7.505 2.219
Mg Br Co
1 2 1
direct
0.500 0.500 0.730
0.000 0.000 0.928
0.500 0.500 0.350
0.000 0.000 0.492
```

Output
As for the crystal system: tetragonal. The space group is No. 99.

---

Run Q
MgCoBr2: optimized geometry, PBEsol.

Geometry as POSCAR:
```
MgCoBr2
1.0
-3.296 -0.361 -0.311
0.631 -2.316 -3.999
0.217 -4.017 2.361
Co Br Mg
1 2 1
direct
0.500 0.500 0.500
0.000 0.000 0.500
0.000 0.500 0.000
0.500 0.000 0.000
```

Output
As for the crystal system: tetragonal. The space group is No. 123.

---

Run R
MgCoBr2: optimized geometry, PBEsol.

Geometry as POSCAR:
```
MgCoBr2
1.0
3.311 0.000 0.000
1.656 5.561 0.117
1.656 1.461 5.367
Co Br Mg
1 2 1
direct
0.489 0.511 0.511
0.809 0.691 0.691
0.962 0.038 0.038
0.240 0.260 0.260
```

Output
As for the crystal system: orthorhombic. The space group is No. 44.

---

Of them, run Q has the lowest stability.

---

Run P
Co2MoBr: optimized geometry, PBEsol.

Geometry as POSCAR:
```
Co2MoBr
1.0
2.829 0.007 0.000
-0.287 4.478 0.000
-1.271 -2.242 4.247
Co Mo Br
2 1 1
direct
0.500 0.500 0.500
0.000 0.000 0.500
0.000 0.500 0.000
0.500 0.000 0.000
```

Output
As for the crystal system: monoclinic. The space group is No. 12.

---

Run Q
Co2MoBr: optimized geometry, PBEsol.

Geometry as POSCAR:
```
Co2MoBr
1.0
-2.559 -1.184 -0.944
0.590 -2.589 1.647
-3.083 2.564 5.140
Co Mo Br
2 1 1
direct
0.000 0.500 0.691
0.000 0.500 0.309
0.500 0.000 0.500
0.500 0.500 0.000
```

Output
As for the crystal system: orthorhombic. The space group is No. 47.

---

Run R
Co2MoBr: optimized geometry, PBEsol.

Geometry as POSCAR:
```
Co2MoBr
1.0
-1.266 -2.568 -0.226
-0.097 -1.335 -2.542
6.467 -4.855 0.679
Co Br Mo
2 1 1
direct
0.746 0.746 0.762
0.007 0.007 0.978
0.250 0.250 0.251
0.497 0.497 0.509
```

Output
As for the crystal system: trigonal. The space group is No. 160.

---

Of them, run P has the lowest stability.